Record 1
LaTaBr2 after structural relaxation. Source: Alexandria via LeMat-Bulk, functional PBE.

The space group is P4/mmm (No. 123) and the conventional cell measures 3.433, 3.433 and 10.539 Å, with angles of 90.00, 90.00 and 90.00 degrees. The distinct sites, in fractional coordinates, are La at (0.000, 0.000, 0.000), Ta at (0.000, 0.000, 0.500) and Br at (0.500, 0.500, 0.178).

Its theoretical density is 6.41 g/cm³. For the relative energy among the computed polymorphs, the calculation gives 572.4 meV per atom. For the energy relative to the elements, uncorrected, the calculation gives 76 meV per atom.

=====

Record 2
LaTaBr2 after structural relaxation. Source: Alexandria via LeMat-Bulk, functional PBE.

The space group is P4/mmm (No. 123) and the conventional cell measures 4.948, 4.948 and 3.731 Å, with angles of 90.00, 90.00 and 90.00 degrees. The distinct sites, in fractional coordinates, are La at (0.000, 0.000, 0.000), Ta at (0.500, 0.500, 0.000) and Br at (0.000, 0.500, 0.500).

Its theoretical density is 8.72 g/cm³. For the relative energy among the computed polymorphs, the calculation gives 504.5 meV per atom. For the energy relative to the elements, uncorrected, the calculation gives 8 meV per atom.

=====

Record 3
LaTaBr2 after structural relaxation. Source: Alexandria via LeMat-Bulk, functional PBE.

The space group is Cm (No. 8) and the conventional cell measures 11.252, 3.358 and 7.259 Å, with angles of 90.00, 119.02 and 90.00 degrees. The distinct sites, in fractional coordinates, are La at (0.000, 0.000, 0.000), Ta at (0.272, 0.500, 0.192), Br at (0.221, 0.000, 0.870) and Br at (0.380, 0.000, 0.519).

Its theoretical density is 6.64 g/cm³. For the relative energy among the computed polymorphs, the calculation gives 266.9 meV per atom. For the energy relative to the elements, uncorrected, the calculation gives -230 meV per atom.

=====

Record 4
La4TaBr after structural relaxation. Source: Alexandria via LeMat-Bulk, functional PBE.

The space group is F-43m (No. 216) and the conventional cell measures 9.027, 9.027 and 9.027 Å, with angles of 90.00, 90.00 and 90.00 degrees. The distinct sites, in fractional coordinates, are La at (0.122, 0.122, 0.122), Ta at (0.250, 0.250, 0.750) and Br at (0.000, 0.000, 0.500).

Its theoretical density is 7.37 g/cm³. For the energy relative to the elements, uncorrected, the calculation gives 627 meV per atom.

=====

Record 5
LaTaBr2 after structural relaxation. Source: Alexandria via LeMat-Bulk, functional PBE.

The space group is R3m (No. 160, hexagonal axes) and the conventional cell measures 3.6251, 3.6251 and 30.4786 Å, with angles of 90.00, 90.00 and 120.00 degrees. The distinct sites, in fractional coordinates, are La at (0.0000, 0.0000, 0.0000), Ta at (0.0000, 0.0000, 0.2490), Br at (0.0000, 0.0000, 0.5251) and Br at (0.0000, 0.0000, 0.7400).

Its theoretical density is 6.89 g/cm³. For the relative energy among the computed polymorphs, the calculation gives 0.0 meV per atom. For the energy relative to the elements, uncorrected, the calculation gives -497 meV per atom.

=====

Record 6
LaTaBr2 after structural relaxation. Source: Alexandria via LeMat-Bulk, functional PBE.

The space group is Pmmm (No. 47) and the conventional cell measures 3.382, 4.470 and 6.322 Å, with angles of 90.00, 90.00 and 90.00 degrees. The distinct sites, in fractional coordinates, are La at (0.000, 0.000, 0.000), Ta at (0.500, 0.000, 0.500) and Br at (0.500, 0.500, 0.258).

Its theoretical density is 8.33 g/cm³. For the relative energy among the computed polymorphs, the calculation gives 258.2 meV per atom. For the energy relative to the elements, uncorrected, the calculation gives -238 meV per atom.